Entry 1:
## In2IrS (PBE-GGA)

Data for a relaxed structure of In2IrS.

Properties
Fermi-level density of states: 0.869 states/eV per atom
Raw formation energy: 203 meV per atom
DFT total energy: -0.324 Ry/atom
Crystal system: tetragonal

Cell: 6.328 6.328 7.099 Å, 63.53 63.53 90.00°
Fractional coordinates of all 8 atoms:
In: 0.375 0.370 0.750
In: 0.630 0.125 0.250
In: 0.875 0.880 0.750
In: 0.120 0.625 0.250
S: 0.500 0.500 0.000
S: 0.250 0.750 0.500
Ir: 0.000 0.000 0.000
Ir: 0.750 0.250 0.500

---

Entry 2:
## Sm2GeHRh6 (PBE-GGA)

Data for a relaxed structure of Sm2GeHRh6.

Properties
Fermi-level density of states: 0.909 states/eV per atom
DFT total energy: -0.493 Ry/atom
Crystal system: tetragonal

Cell: 6.133 6.132 6.129 Å, 59.91 59.91 89.95°
Fractional coordinates of all 10 atoms:
H: 0.500 0.500 0.000
Rh: 0.273 0.727 0.000
Rh: 0.273 0.273 0.453
Rh: 0.727 0.727 0.000
Rh: 0.273 0.273 0.000
Rh: 0.727 0.727 0.547
Rh: 0.727 0.273 0.000
Ge: 0.000 0.000 0.000
Sm: 0.250 0.750 0.500
Sm: 0.750 0.250 0.500

---

Entry 3:
## LaSm2Sn (PBE-GGA)

Data for a relaxed structure of LaSm2Sn.

Properties
Fermi-level density of states: 1.344 states/eV per atom
DFT total energy: -0.350 Ry/atom
Energy above the lowest structure with this stoichiometry: 284 meV per atom
Crystal system: trigonal
Energy of formation: -0.7 eV/f.u.

Cell: 5.313 5.313 6.419 Å, 65.56 65.56 60.00°
Fractional coordinates of all 4 atoms:
Sn: 0.689 0.689 0.932
La: 0.488 0.488 0.535
Sm: 0.046 0.046 0.861
Sm: 0.276 0.276 0.172

---

Entry 4:
## KLaTa2 (PBE-GGA)

Data for a relaxed structure of KLaTa2.

Properties
Fermi-level density of states: 1.080 states/eV per atom
DFT total energy: -0.443 Ry/atom
Energy above the lowest structure with this stoichiometry: 857 meV per atom
Crystal system: tetragonal
Energy of formation: 5.6 eV/f.u.

Cell: 4.211 4.211 11.729 Å, 79.66 79.66 90.00°
Fractional coordinates of all 8 atoms:
Ta: 0.375 0.357 0.750
Ta: 0.643 0.125 0.250
Ta: 0.107 0.625 0.250
Ta: 0.875 0.893 0.750
K: 0.500 0.500 0.000
K: 0.250 0.750 0.500
La: 0.000 0.000 0.000
La: 0.750 0.250 0.500

---

Entry 5:
## LaPm8Y3 (PBE-GGA)

Data for a relaxed structure of LaPm8Y3.

Properties
Fermi-level density of states: 1.509 states/eV per atom
DFT total energy: -0.360 Ry/atom
Crystal system: monoclinic
Energy of formation: 3.6 eV/f.u.

Cell: 8.789 8.789 8.882 Å, 99.13 137.38 95.51°
Fractional coordinates of all 12 atoms:
La: 0.000 0.000 0.000
Pm: 0.992 0.792 0.295
Pm: 0.763 0.098 0.170
Pm: 0.928 0.594 0.830
Pm: 0.072 0.406 0.169
Pm: 0.008 0.208 0.705
Pm: 0.502 0.303 0.295
Pm: 0.498 0.697 0.705
Pm: 0.237 0.902 0.831
Y: 0.430 0.245 0.675
Y: 0.000 0.500 0.500
Y: 0.570 0.755 0.325

---

Entry 6:
## Ba2FeSi (PBE-GGA)

Data for a relaxed structure of Ba2FeSi.

Properties
Fermi-level density of states: 1.242 states/eV per atom
Raw formation energy: 542 meV per atom
DFT total energy: -0.286 Ry/atom
Crystal system: cubic

Cell: 5.368 5.368 5.368 Å, 60.00 60.00 60.00°
Site moments in Bohr magnetons follow the coordinates.
Fractional coordinates of all 4 atoms:
Ba: 0.000 0.000 0.000  -0.14
Ba: 0.250 0.250 0.250  -0.12
Fe: 0.500 0.500 0.500  2.60
Si: 0.750 0.750 0.750  -0.02